# 1
Density functional theory data (PBE) for crystalline RbTl2SnB at its relaxed geometry.

a b c (Å): 6.2497 6.2497 5.1029
angles (deg): 90.00 90.00 90.00
With the nearest neighbours (Å) after each atom.
Space group P4/mmm (No. 123)
One atom of each set of equivalent atoms:
Rb 0.0000 0.0000 0.0000 (multiplicity 1)  2 B 2.55
Tl 0.0000 0.5000 0.0000 (multiplicity 2)  2 Rb 3.12
Sn 0.5000 0.5000 0.5000 (multiplicity 1)  8 Tl 4.03, 4 B 4.42
B 0.0000 0.0000 0.5000 (multiplicity 1)  2 Rb 2.55

# 2
Density functional theory data (PBE) for crystalline RbTl2SnB at its relaxed geometry.

a b c (Å): 6.4707 6.4707 4.1892
angles (deg): 90.00 90.00 90.00
With the nearest neighbours (Å) after each atom.
Space group P4/mmm (No. 123)
One atom of each set of equivalent atoms:
Rb 0.0000 0.0000 0.0000 (multiplicity 1)  8 Tl 3.85, 2 Rb 4.19
Tl 0.0000 0.5000 0.5000 (multiplicity 2)  2 Sn 3.24
Sn 0.5000 0.5000 0.5000 (multiplicity 1)  2 B 2.09
B 0.5000 0.5000 0.0000 (multiplicity 1)  2 Sn 2.09

# 3
Density functional theory data (PBE) for crystalline RbZn2SnB at its relaxed geometry.

a b c (Å): 4.4701 4.4701 5.7917
angles (deg): 90.00 90.00 90.00
With the nearest neighbours (Å) after each atom.
Space group P4/mmm (No. 123)
One atom of each set of equivalent atoms:
Rb 0.0000 0.0000 0.0000 (multiplicity 1)  2 B 2.90, 4 Sn 3.16
Zn 0.0000 0.5000 0.5000 (multiplicity 2)  2 B 2.24
Sn 0.5000 0.5000 0.0000 (multiplicity 1)  4 Rb 3.16
B 0.0000 0.0000 0.5000 (multiplicity 1)  4 Zn 2.24

# 4
Density functional theory data (PBE) for crystalline RbZn2SnB at its relaxed geometry.

a b c (Å): 5.6433 5.6433 4.4958
angles (deg): 90.00 90.00 90.00
With the nearest neighbours (Å) after each atom.
Space group P4/mmm (No. 123)
One atom of each set of equivalent atoms:
Rb 0.0000 0.0000 0.0000 (multiplicity 1)  8 Zn 3.61, 4 B 3.99
Zn 0.0000 0.5000 0.5000 (multiplicity 2)  2 Sn 2.82
Sn 0.5000 0.5000 0.5000 (multiplicity 1)  2 B 2.25
B 0.5000 0.5000 0.0000 (multiplicity 1)  2 Sn 2.25

# 5
Density functional theory data (PBE) for crystalline RbSrB2 at its relaxed geometry.

a b c (Å): 7.2586 7.2586 7.2586
angles (deg): 90.00 90.00 90.00
With the nearest neighbours (Å) after each atom.
Space group Fm-3m (No. 225)
One atom of each set of equivalent atoms:
Rb 0.0000 0.0000 0.0000 (multiplicity 4)  8 B 3.14
Sr 0.0000 0.0000 0.5000 (multiplicity 4)  8 B 3.14
B 0.2500 0.2500 0.2500 (multiplicity 8)  4 Rb 3.14, 4 Sr 3.14

# 6
Density functional theory data (PBE) for crystalline Rb2SrB at its relaxed geometry.

a b c (Å): 12.8264 12.8264 5.4096
angles (deg): 90.00 90.00 90.00
With the nearest neighbours (Å) after each atom.
Space group I-42d (No. 122)
One atom of each set of equivalent atoms:
Rb 0.0927 0.7500 0.1250 (multiplicity 8)  2 B 3.49
Sr 0.0000 0.0000 0.5000 (multiplicity 4)  2 B 2.70
B 0.0000 0.0000 0.0000 (multiplicity 4)  2 Sr 2.70

# 7
Density functional theory data (PBE) for crystalline Rb3SrB at its relaxed geometry.

a b c (Å): 8.2664 8.2664 8.2664
angles (deg): 90.00 90.00 90.00
With the nearest neighbours (Å) after each atom.
Space group Pm-3m (No. 221)
One atom of each set of equivalent atoms:
Rb 0.0000 0.0000 0.5000 (multiplicity 3)  2 Sr 4.13
Sr 0.0000 0.0000 0.0000 (multiplicity 1)  6 Rb 4.13
B 0.5000 0.5000 0.5000 (multiplicity 1)  12 Rb 5.85

# 8
Density functional theory data (PBE) for crystalline Rb3SrB at its relaxed geometry.

a b c (Å): 6.6802 6.6802 6.6802
angles (deg): 90.00 90.00 90.00
With the nearest neighbours (Å) after each atom.
Space group Pm-3m (No. 221)
One atom of each set of equivalent atoms:
Rb 0.0000 0.0000 0.5000 (multiplicity 3)  2 B 3.34
Sr 0.5000 0.5000 0.5000 (multiplicity 1)  12 Rb 4.72
B 0.0000 0.0000 0.0000 (multiplicity 1)  6 Rb 3.34

# 9
Density functional theory data (PBE) for crystalline RbSrB12 at its relaxed geometry.

a b c (Å): 8.4681 8.4681 8.4681
angles (deg): 90.00 90.00 90.00
With the nearest neighbours (Å) after each atom.
Space group Fm-3m (No. 225)
One atom of each set of equivalent atoms:
Rb 0.0000 0.0000 0.0000 (multiplicity 4)  24 B 3.11
Sr 0.0000 0.0000 0.5000 (multiplicity 4)  24 B 3.11
B 0.1007 0.2500 0.2500 (multiplicity 48)  5 B 1.71-1.79

# 10
Density functional theory data (PBE) for crystalline RbSrB2 at its relaxed geometry.

a b c (Å): 8.1103 8.1103 7.2508
angles (deg): 90.00 90.00 90.00
With the nearest neighbours (Å) after each atom.
Space group I-42d (No. 122)
One atom of each set of equivalent atoms:
Rb 0.0000 0.0000 0.0000 (multiplicity 4)  4 B 3.21
Sr 0.0000 0.0000 0.5000 (multiplicity 4)  4 B 2.82
B 0.2146 0.2500 0.6250 (multiplicity 8)  2 Sr 2.82

# 11
Density functional theory data (PBE) for crystalline RbSr2ZnB at its relaxed geometry.

a b c (Å): 5.6665 5.6665 6.3194
angles (deg): 90.00 90.00 90.00
With the nearest neighbours (Å) after each atom.
Space group P4/mmm (No. 123)
One atom of each set of equivalent atoms:
Rb 0.0000 0.0000 0.0000 (multiplicity 1)  2 B 3.16
Sr 0.0000 0.5000 0.5000 (multiplicity 2)  2 B 2.83
Zn 0.5000 0.5000 0.0000 (multiplicity 1)  4 Rb 4.01, 8 Sr 4.24
B 0.0000 0.0000 0.5000 (multiplicity 1)  4 Sr 2.83, 2 Rb 3.16

# 12
Density functional theory data (PBE) for crystalline RbTa3B at its relaxed geometry.

a b c (Å): 4.6070 4.6070 4.6070
angles (deg): 90.00 90.00 90.00
With the nearest neighbours (Å) after each atom.
Space group Pm-3m (No. 221)
One atom of each set of equivalent atoms:
Rb 0.0000 0.0000 0.0000 (multiplicity 1)  12 Ta 3.26
Ta 0.0000 0.5000 0.5000 (multiplicity 3)  2 B 2.30
B 0.5000 0.5000 0.5000 (multiplicity 1)  6 Ta 2.30

D(E_F)
In order: 1.00; 0.60; 0.50; 0.36; 1.03; 0.76; 4.96; 1.06; 0.27; 0.84; 0.67; 1.47
Unit: states/eV/atom
DFT total energy
In order: -1.71; -2.61; -2.08; -2.04; -2.47; -1.72; -0.75; -1.38; -6.12; -2.25; -1.87; -7.36
Unit: eV/atom
Mass density
In order: 5.20; 5.91; 4.96; 4.01; 3.38; 2.01; 1.04; 1.98; 3.31; 2.71; 2.76; 10.85
Unit: g/cm3